# 1
Entry from Alexandria via LeMat-Bulk: a relaxed structure of Ac5Pb2AuN (PBE).

total energy: -5.0830 eV/atom
DOS at the Fermi energy: 12.51 states/eV per cell
uncorrected formation energy: -0.687 eV/atom
mass density: 9229 kg/m3

Cell: 10.1417 10.1417 13.3371 Å, 90.00 90.00 152.50°
Sites, in units of the cell vectors:
Ac  0.0154  0.9846  0.5000
Ac  0.2761  0.7239  0.2087
Ac  0.3366  0.6634  0.5286
Ac  0.3436  0.6564  0.9034
Ac  0.4804  0.5196  0.2719
Ac  0.5196  0.4804  0.7719
Ac  0.6564  0.3436  0.4034
Ac  0.6634  0.3366  0.0286
Ac  0.7239  0.2761  0.7087
Ac  0.9846  0.0154  0.0000
Pb  0.1021  0.8979  0.2063
Pb  0.1390  0.8610  0.8476
Pb  0.8610  0.1390  0.3476
Pb  0.8979  0.1021  0.7063
Au  0.1777  0.8223  0.5692
Au  0.8223  0.1777  0.0692
N  0.4674  0.5326  0.9336
N  0.5326  0.4674  0.4336


# 2
Entry from Alexandria via LeMat-Bulk: a relaxed structure of Ac2PdAuN (PBE).

total energy: -5.8201 eV/atom
DOS at the Fermi energy: 5.43 states/eV per cell
uncorrected formation energy: -0.818 eV/atom
mass density: 10510 kg/m3

Cell: 7.4124 4.0202 8.6480 Å, 90.00 108.93 90.00°
Sites, in units of the cell vectors:
Ac  0.2033  0.2500  0.3847
Ac  0.2149  0.2500  0.9691
Ac  0.7851  0.7500  0.0309
Ac  0.7967  0.7500  0.6153
Pd  0.4571  0.7500  0.2469
Pd  0.5429  0.2500  0.7531
Au  0.2694  0.7500  0.6933
Au  0.7306  0.2500  0.3067
N  0.1389  0.7500  0.1650
N  0.8611  0.2500  0.8350


# 3
Entry from Alexandria via LeMat-Bulk: a relaxed structure of Ac5PtAu2N (PBE).

total energy: -5.4806 eV/atom
DOS at the Fermi energy: 14.93 states/eV per cell
uncorrected formation energy: -0.874 eV/atom
mass density: 10042 kg/m3

Cell: 9.8448 9.8448 13.8333 Å, 90.00 90.00 154.61°
Sites, in units of the cell vectors:
Ac  0.0055  0.9945  0.5000
Ac  0.1436  0.8564  0.7376
Ac  0.1790  0.8210  0.1068
Ac  0.2115  0.7885  0.4087
Ac  0.4620  0.5380  0.7379
Ac  0.5380  0.4620  0.2379
Ac  0.7885  0.2115  0.9087
Ac  0.8210  0.1790  0.6068
Ac  0.8564  0.1436  0.2376
Ac  0.9945  0.0055  0.0000
Pt  0.2988  0.7012  0.7585
Pt  0.7012  0.2988  0.2585
Au  0.3700  0.6300  0.0596
Au  0.3874  0.6126  0.4137
Au  0.6126  0.3874  0.9137
Au  0.6300  0.3700  0.5596
N  0.0518  0.9482  0.1523
N  0.9482  0.0518  0.6523